Entry 1:
# Y2CuRu

A geometry-optimized Y2CuRu structure (PBE, Alexandria via LeMat-Bulk).

Unit cell a=3.454 b=3.454 c=7.452 alpha=90.00 beta=90.00 gamma=90.00
Fractional coordinates of all 4 atoms:
Y  0.000  0.000  0.923
Ru  0.500  0.500  0.699
Y  0.500  0.500  0.333
Cu  0.000  0.000  0.545

Calculated values
Total magnetic moment, μB/cell: 0.000
Energy of formation, eV per atom: -0.037

Entry 2:
# YCuRu

A geometry-optimized YCuRu structure (PBE, Alexandria via LeMat-Bulk).

Unit cell a=4.468 b=4.468 c=4.468 alpha=60.00 beta=60.00 gamma=60.00
Fractional coordinates of all 3 atoms:
Cu  0.000  0.000  0.000
Y  0.750  0.750  0.750
Ru  0.500  0.500  0.500

Calculated values
Total magnetic moment, μB/cell: 0.000
ΔE to the lowest computed polymorph, meV/atom: 1012
Energy of formation, eV per atom: 0.725

Entry 3:
# Y3CuRu

A geometry-optimized Y3CuRu structure (PBE, Alexandria via LeMat-Bulk).

Unit cell a=5.308 b=5.308 c=5.308 alpha=90.00 beta=90.00 gamma=90.00
Fractional coordinates of all 5 atoms:
Y  0.000  0.000  0.500
Cu  0.500  0.500  0.500
Y  0.500  0.000  0.000
Ru  0.000  0.000  0.000
Y  0.000  0.500  0.000

Calculated values
Total magnetic moment, μB/cell: 0.000
ΔE to the lowest computed polymorph, meV/atom: 383
Energy of formation, eV per atom: 0.137

Entry 4:
# YCuRu2

A geometry-optimized YCuRu2 structure (PBE, Alexandria via LeMat-Bulk).

Unit cell a=5.090 b=5.090 c=5.090 alpha=134.04 beta=134.04 gamma=67.02
Fractional coordinates of all 4 atoms:
Y  0.250  0.750  0.500
Ru  0.000  0.000  0.000
Ru  0.500  0.500  0.000
Cu  0.750  0.250  0.500

Calculated values
Total magnetic moment, μB/cell: 1.517
ΔE to the lowest computed polymorph, meV/atom: 145
Energy of formation, eV per atom: 0.222

Entry 5:
# YCuRu

A geometry-optimized YCuRu structure (PBE, Alexandria via LeMat-Bulk).

Unit cell a=5.211 b=5.115 c=7.832 alpha=90.00 beta=90.00 gamma=90.00
Fractional coordinates of all 12 atoms:
Cu  0.000  0.000  0.500
Y  0.000  0.250  0.123
Ru  0.750  0.250  0.750
Cu  0.500  0.000  0.000
Cu  0.500  0.500  0.000
Ru  0.250  0.750  0.250
Cu  0.000  0.500  0.500
Ru  0.750  0.750  0.250
Y  0.500  0.750  0.623
Y  0.500  0.250  0.377
Y  0.000  0.750  0.877
Ru  0.250  0.250  0.750

Calculated values
Total magnetic moment, μB/cell: 0.000
ΔE to the lowest computed polymorph, meV/atom: 0
Energy of formation, eV per atom: -0.287

Entry 6:
# Y4ZnCu2Ru

A geometry-optimized Y4ZnCu2Ru structure (PBE, Alexandria via LeMat-Bulk).

Unit cell a=4.947 b=4.947 c=8.525 alpha=73.13 beta=73.13 gamma=60.00
Fractional coordinates of all 8 atoms:
Zn  0.000  0.000  0.000
Cu  0.747  0.747  0.760
Ru  0.500  0.500  0.500
Y  0.380  0.380  0.861
Y  0.129  0.129  0.613
Y  0.871  0.871  0.387
Y  0.620  0.620  0.139
Cu  0.253  0.253  0.240

Calculated values
Total magnetic moment, μB/cell: 0.000
Energy of formation, eV per atom: -0.319

Entry 7:
# ZnCu2Ru

A geometry-optimized ZnCu2Ru structure (PBE, Alexandria via LeMat-Bulk).

Unit cell a=3.550 b=3.550 c=9.326 alpha=79.03 beta=79.03 gamma=90.00
Fractional coordinates of all 8 atoms:
Cu  0.623  0.125  0.250
Zn  0.500  0.500  0.000
Zn  0.250  0.750  0.500
Cu  0.875  0.873  0.750
Ru  0.000  0.000  0.000
Cu  0.127  0.625  0.250
Ru  0.750  0.250  0.500
Cu  0.375  0.377  0.750

Calculated values
Total magnetic moment, μB/cell: 0.000
Energy of formation, eV per atom: 0.409

Entry 8:
# ZnCu2Ru

A geometry-optimized ZnCu2Ru structure (PBE, Alexandria via LeMat-Bulk).

Unit cell a=2.587 b=2.587 c=8.744 alpha=90.00 beta=90.00 gamma=115.37
Fractional coordinates of all 4 atoms:
Cu  0.000  0.000  0.995
Cu  0.000  0.000  0.505
Ru  0.500  0.500  0.250
Zn  0.500  0.500  0.750

Calculated values
Total magnetic moment, μB/cell: 0.022
Energy of formation, eV per atom: 0.163

Entry 9:
# ZnCu2Ru

A geometry-optimized ZnCu2Ru structure (PBE, Alexandria via LeMat-Bulk).

Unit cell a=4.523 b=4.523 c=4.523 alpha=130.60 beta=130.60 gamma=72.45
Fractional coordinates of all 4 atoms:
Zn  0.750  0.250  0.500
Cu  0.000  0.000  0.000
Ru  0.500  0.500  0.000
Cu  0.250  0.750  0.500

Calculated values
Total magnetic moment, μB/cell: 0.000
Energy of formation, eV per atom: 0.123

Entry 10:
# ZnCu2Ru

A geometry-optimized ZnCu2Ru structure (PBE, Alexandria via LeMat-Bulk).

Unit cell a=4.194 b=4.194 c=4.194 alpha=60.00 beta=60.00 gamma=60.00
Fractional coordinates of all 4 atoms:
Ru  0.500  0.500  0.500
Cu  0.000  0.000  0.000
Zn  0.750  0.750  0.750
Cu  0.250  0.250  0.250

Calculated values
Total magnetic moment, μB/cell: 0.442
Energy of formation, eV per atom: 0.145

Entry 11:
# ZnCu2Ru

A geometry-optimized ZnCu2Ru structure (PBE, Alexandria via LeMat-Bulk).

Unit cell a=4.676 b=4.676 c=2.579 alpha=90.03 beta=90.03 gamma=112.01
Fractional coordinates of all 4 atoms:
Zn  0.000  0.500  0.500
Cu  0.000  0.000  0.000
Cu  0.500  0.500  0.000
Ru  0.500  0.000  0.500

Calculated values
Total magnetic moment, μB/cell: 0.000
Energy of formation, eV per atom: 0.077

Entry 12:
# ZnCuRu

A geometry-optimized ZnCuRu structure (PBE, Alexandria via LeMat-Bulk).

Unit cell a=4.597 b=4.590 c=30.210 alpha=154.08 beta=162.50 gamma=34.82
Fractional coordinates of all 6 atoms:
Cu  0.548  0.360  0.093
Zn  0.594  0.051  0.772
Ru  0.429  0.295  0.567
Cu  0.452  0.640  0.907
Ru  0.571  0.705  0.433
Zn  0.406  0.949  0.228

Calculated values
Total magnetic moment, μB/cell: 0.000
ΔE to the lowest computed polymorph, meV/atom: 74
Energy of formation, eV per atom: 0.018

> energy of formation of number 4 (YCuRu2)?

0.222 eV per atom

> Look up the total magnetic moment of the first one.

0.000 μB/cell